# PBEsol Y3Zr, optimized geometry
# Volume ... 28.21 Å³ per atom
# Density of states at the Fermi level ... 1.786 states/eV/atom
# Relative energy among the computed polymorphs ... 0.03 eV per formula unit
# Magnetic moment ... 0.00 μB per atom
# VASP energy ... -7.30 eV per atom
data_Y3Zr
_chemical_formula_sum 'Y3 Zr1'
_space_group_name_H-M_alt 'P 1'
_space_group_IT_number 1
_cell_length_a 3.447
_cell_length_b 5.407
_cell_length_c 6.055
_cell_angle_alpha 90.00
_cell_angle_beta 90.00
_cell_angle_gamma 90.00
loop_
_space_group_symop_operation_xyz
'x,y,z'
loop_
_atom_site_label
_atom_site_fract_x
_atom_site_fract_y
_atom_site_fract_z
Y1 0.000 0.000 0.000
Y2 0.000 0.500 0.335
Y3 0.500 0.000 0.521
Zr1 0.500 0.500 0.838